(1)
DFT (PBE) results for KTc2Mo after structural relaxation.

Results
E above lowest polymorph	68.7	kJ/mol of atoms
N(E_F)	1.459	states/eV/atom
ΔH_f (0 K)	1427.9	meV/atom

The structure in POSCAR format:
```
KTc2Mo
1.0
0.0000 3.2421 3.2421
3.2421 0.0000 3.2421
3.2421 3.2421 0.0000
K Tc Mo
1 2 1
Cartesian
0.0000 0.0000 0.0000 K
1.6210 1.6210 1.6210 Tc
4.8631 4.8631 4.8631 Tc
3.2421 3.2421 3.2421 Mo
```

***

(2)
DFT (PBE) results for KTcMo2 after structural relaxation.

Results
E above lowest polymorph	60.1	kJ/mol of atoms
N(E_F)	1.370	states/eV/atom
ΔH_f (0 K)	1340.2	meV/atom

The structure in POSCAR format:
```
KTcMo2
1.0
-1.4478 2.6796 4.9832
1.4478 -2.6796 4.9832
1.4478 2.6796 -4.9832
K Tc Mo
1 1 2
Cartesian
0.0000 0.0000 0.0000 K
0.0000 2.6796 2.1631 Tc
1.4478 0.0000 2.8814 Mo
0.0000 0.0000 5.0364 Mo
```

***

(3)
DFT (PBE) results for KTc2Mo after structural relaxation.

Results
E above lowest polymorph	8.5	kJ/mol of atoms
N(E_F)	0.958	states/eV/atom
ΔH_f (0 K)	803.6	meV/atom

The structure in POSCAR format:
```
KTc2Mo
1.0
3.1408 0.0000 0.0000
0.0000 3.1408 0.0000
0.0000 0.0000 8.5464
K Tc Mo
1 2 1
Cartesian
0.0000 0.0000 0.0000 K
1.5704 1.5704 2.8826 Tc
1.5704 1.5704 5.6638 Tc
0.0000 0.0000 4.2732 Mo
```

***

(4)
DFT (PBE) results for KTcMo3 after structural relaxation.

Results
E above lowest polymorph	0.0	kJ/mol of atoms
N(E_F)	1.446	states/eV/atom
ΔH_f (0 K)	1722.3	meV/atom

The structure in POSCAR format:
```
KTcMo3
1.0
4.8446 0.0000 0.0000
0.0000 4.8446 0.0000
0.0000 0.0000 4.8446
K Tc Mo
1 1 3
Cartesian
0.0000 0.0000 0.0000 K
2.4223 2.4223 2.4223 Tc
0.0000 2.4223 2.4223 Mo
2.4223 0.0000 2.4223 Mo
2.4223 2.4223 0.0000 Mo
```

***

(5)
DFT (PBE) results for KTc2Mo after structural relaxation.

Results
E above lowest polymorph	9.3	kJ/mol of atoms
N(E_F)	1.083	states/eV/atom
ΔH_f (0 K)	812.3	meV/atom

The structure in POSCAR format:
```
KTc2Mo
1.0
2.7900 0.0000 0.0000
0.0000 2.7900 0.0000
0.0000 0.0000 9.9389
K Tc Mo
1 2 1
Cartesian
0.0000 0.0000 0.0000 K
0.0000 0.0000 5.1558 Tc
1.3950 1.3950 6.9111 Tc
1.3950 1.3950 3.2044 Mo
```

***

(6)
DFT (PBE) results for KTc2Mo after structural relaxation.

Results
E above lowest polymorph	11.0	kJ/mol of atoms
N(E_F)	1.178	states/eV/atom
ΔH_f (0 K)	829.8	meV/atom

The structure in POSCAR format:
```
KTc2Mo
1.0
2.8755 0.0000 0.0000
0.0000 3.8600 0.0000
0.0000 0.0000 8.0287
K Tc Mo
1 2 1
Cartesian
0.0000 0.0000 0.0000 K
1.4378 1.9300 2.8137 Tc
1.4378 1.9300 5.2150 Tc
0.0000 0.0000 4.0144 Mo
```

***

(7)
DFT (PBE) results for KTc2Mo after structural relaxation.

Results
E above lowest polymorph	0.0	kJ/mol of atoms
N(E_F)	1.008	states/eV/atom
ΔH_f (0 K)	715.7	meV/atom

The structure in POSCAR format:
```
KTc2Mo
1.0
1.5631 -2.2824 0.0000
1.5631 2.2824 0.0000
0.0000 0.0000 10.2133
K Tc Mo
1 2 1
Cartesian
0.0000 0.0000 0.0000 K
1.5631 0.0000 3.0018 Tc
1.5631 0.0000 7.2115 Tc
0.0000 0.0000 5.1067 Mo
```

***

(8)
DFT (PBE) results for KTcMo2 after structural relaxation.

Results
E above lowest polymorph	86.6	kJ/mol of atoms
N(E_F)	0.946	states/eV/atom
ΔH_f (0 K)	1614.8	meV/atom

The structure in POSCAR format:
```
KTcMo2
1.0
4.9629 0.0000 0.0000
0.0000 4.9629 0.0000
0.0000 0.0000 2.8235
K Tc Mo
1 1 2
Cartesian
0.0000 0.0000 0.0000 K
2.4814 2.4814 0.0000 Tc
0.0000 2.4814 1.4117 Mo
2.4814 0.0000 1.4117 Mo
```

***

(9)
DFT (PBE) results for K3TcMo after structural relaxation.

Results
E above lowest polymorph	0.0	kJ/mol of atoms
N(E_F)	3.397	states/eV/atom
ΔH_f (0 K)	2163.7	meV/atom

The structure in POSCAR format:
```
K3TcMo
1.0
6.6505 0.0000 0.0000
0.0000 6.6505 0.0000
0.0000 0.0000 6.6505
K Tc Mo
3 1 1
Cartesian
0.0000 0.0000 3.3252 K
0.0000 3.3252 0.0000 K
3.3252 0.0000 0.0000 K
3.3252 3.3252 3.3252 Tc
0.0000 0.0000 0.0000 Mo
```

***

(10)
DFT (PBE) results for KTc2Mo after structural relaxation.

Results
E above lowest polymorph	65.7	kJ/mol of atoms
N(E_F)	1.135	states/eV/atom
ΔH_f (0 K)	1396.3	meV/atom

The structure in POSCAR format:
```
KTc2Mo
1.0
5.5145 0.0000 0.0000
0.0000 2.5548 0.0000
-2.4872 0.0000 5.0062
K Tc Mo
1 2 1
Cartesian
0.0000 0.0000 0.0000 K
-1.2436 1.2774 2.5031 Tc
2.7572 0.0000 0.0000 Tc
1.5137 1.2774 2.5031 Mo
```

***

(11)
DFT (PBE) results for KTcMo2 after structural relaxation.

Results
E above lowest polymorph	27.1	kJ/mol of atoms
N(E_F)	0.632	states/eV/atom
ΔH_f (0 K)	998.4	meV/atom

The structure in POSCAR format:
```
KTcMo2
1.0
4.6706 -1.5353 0.0000
4.6706 1.5353 0.0000
-0.7278 0.0000 7.0008
K Tc Mo
1 1 2
Cartesian
0.0000 0.0000 0.0000 K
4.3067 0.0000 3.5004 Tc
1.6357 0.0000 4.3461 Mo
6.9777 0.0000 2.6548 Mo
```

***

(12)
DFT (PBE) results for KTc2Mo after structural relaxation.

Results
E above lowest polymorph	9.0	kJ/mol of atoms
N(E_F)	1.068	states/eV/atom
ΔH_f (0 K)	809.3	meV/atom

The structure in POSCAR format:
```
KTc2Mo
1.0
1.5261 -2.2710 0.0000
1.5261 2.2710 0.0000
0.0000 0.0000 10.4959
K Tc Mo
1 2 1
Cartesian
0.0000 0.0000 0.0000 K
0.0000 0.0000 5.1306 Tc
1.5261 0.0000 2.9798 Tc
1.5261 0.0000 7.3149 Mo
```

***

(13)
DFT (PBE) results for KTc2Mo after structural relaxation.

Results
E above lowest polymorph	18.0	kJ/mol of atoms
N(E_F)	1.490	states/eV/atom
ΔH_f (0 K)	902.0	meV/atom

The structure in POSCAR format:
```
KTc2Mo
1.0
3.3513 0.0000 0.0000
0.0000 3.3513 0.0000
0.0000 0.0000 8.1403
K Tc Mo
1 2 1
Cartesian
0.0000 0.0000 0.0000 K
0.0000 0.0000 4.2113 Tc
1.6756 1.6756 5.3218 Tc
1.6756 1.6756 2.9872 Mo
```

***

(14)
DFT (PBE) results for KTcMo2 after structural relaxation.

Results
E above lowest polymorph	13.1	kJ/mol of atoms
N(E_F)	0.766	states/eV/atom
ΔH_f (0 K)	853.1	meV/atom

The structure in POSCAR format:
```
KTcMo2
1.0
2.8111 0.0000 0.0000
0.0000 2.8111 0.0000
0.0000 0.0000 10.1299
K Tc Mo
1 1 2
Cartesian
0.0000 0.0000 0.0000 K
0.0000 0.0000 5.0649 Tc
1.4055 1.4055 3.2087 Mo
1.4055 1.4055 6.9212 Mo
```

***

(15)
DFT (PBE) results for KTcMo2 after structural relaxation.

Results
E above lowest polymorph	8.8	kJ/mol of atoms
N(E_F)	0.807	states/eV/atom
ΔH_f (0 K)	808.5	meV/atom

The structure in POSCAR format:
```
KTcMo2
1.0
2.9207 0.0000 0.0000
0.0000 3.9464 0.0000
-0.7931 0.0000 8.0571
K Tc Mo
1 1 2
Cartesian
0.0000 0.0000 0.0000 K
-0.3966 0.0000 4.0285 Tc
0.8424 1.9732 5.1848 Mo
1.2852 1.9732 2.8723 Mo
```

***

(16)
DFT (PBE) results for KTcMo2 after structural relaxation.

Results
E above lowest polymorph	8.2	kJ/mol of atoms
N(E_F)	1.230	states/eV/atom
ΔH_f (0 K)	802.6	meV/atom

The structure in POSCAR format:
```
KTcMo2
1.0
1.5770 -2.2791 0.0000
1.5770 2.2791 0.0000
0.0000 0.0000 10.5040
K Tc Mo
1 1 2
Cartesian
0.0000 0.0000 0.0000 K
0.0000 0.0000 5.2520 Tc
1.5770 0.0000 3.1332 Mo
1.5770 0.0000 7.3709 Mo
```

***

(17)
DFT (PBE) results for KTc2Mo after structural relaxation.

Results
E above lowest polymorph	24.1	kJ/mol of atoms
N(E_F)	1.130	states/eV/atom
ΔH_f (0 K)	965.7	meV/atom

The structure in POSCAR format:
```
KTc2Mo
1.0
4.7624 -1.4955 0.0000
4.7624 1.4955 0.0000
-1.0324 0.0000 6.5974
K Tc Mo
1 2 1
Cartesian
0.0000 0.0000 0.0000 K
4.2491 0.0000 3.2444 Tc
7.0810 0.0000 2.4388 Tc
1.3560 0.0000 4.1015 Mo
```

***

(18)
DFT (PBE) results for KTcMo2 after structural relaxation.

Results
E above lowest polymorph	76.7	kJ/mol of atoms
N(E_F)	1.659	states/eV/atom
ΔH_f (0 K)	1512.6	meV/atom

The structure in POSCAR format:
```
KTcMo2
1.0
0.0000 3.2702 3.2702
3.2702 0.0000 3.2702
3.2702 3.2702 0.0000
K Tc Mo
1 1 2
Cartesian
0.0000 0.0000 0.0000 K
1.6351 1.6351 1.6351 Tc
3.2702 3.2702 3.2702 Mo
4.9053 4.9053 4.9053 Mo
```

***

(19)
DFT (PBE) results for KTc2Mo after structural relaxation.

Results
E above lowest polymorph	61.2	kJ/mol of atoms
N(E_F)	0.943	states/eV/atom
ΔH_f (0 K)	1350.3	meV/atom

The structure in POSCAR format:
```
KTc2Mo
1.0
3.0141 -4.6668 0.0000
3.0141 4.6668 0.0000
-0.8187 0.0000 2.4694
K Tc Mo
1 2 1
Cartesian
0.0000 0.0000 0.0000 K
1.0977 2.3334 1.2347 Tc
1.0977 -2.3334 1.2347 Tc
3.0141 0.0000 0.0000 Mo
```

***

(20)
DFT (PBE) results for KTcMo2 after structural relaxation.

Results
E above lowest polymorph	74.6	kJ/mol of atoms
N(E_F)	1.231	states/eV/atom
ΔH_f (0 K)	1491.2	meV/atom

The structure in POSCAR format:
```
KTcMo2
1.0
0.0000 3.2570 3.2570
3.2570 0.0000 3.2570
3.2570 3.2570 0.0000
K Tc Mo
1 1 2
Cartesian
0.0000 0.0000 0.0000 K
3.2570 3.2570 3.2570 Tc
1.6285 1.6285 1.6285 Mo
4.8856 4.8856 4.8856 Mo
```

***

(21)
DFT (PBE) results for KTcMo2 after structural relaxation.

Results
E above lowest polymorph	107.2	kJ/mol of atoms
N(E_F)	1.173	states/eV/atom
ΔH_f (0 K)	1828.5	meV/atom

The structure in POSCAR format:
```
KTcMo2
1.0
3.8800 0.0000 0.0000
0.0000 3.8800 0.0000
0.0000 0.0000 4.8775
K Tc Mo
1 1 2
Cartesian
0.0000 0.0000 0.0000 K
1.9400 1.9400 0.0000 Tc
0.0000 1.9400 2.4388 Mo
1.9400 0.0000 2.4388 Mo
```

***

(22)
DFT (PBE) results for KTc2Mo after structural relaxation.

Results
E above lowest polymorph	54.6	kJ/mol of atoms
N(E_F)	1.169	states/eV/atom
ΔH_f (0 K)	1281.3	meV/atom

The structure in POSCAR format:
```
KTc2Mo
1.0
-1.4667 2.6439 4.8186
1.4667 -2.6439 4.8186
1.4667 2.6439 -4.8186
K Tc Mo
1 2 1
Cartesian
0.0000 0.0000 0.0000 K
1.4667 0.0000 2.7414 Tc
0.0000 2.6439 2.0772 Tc
0.0000 0.0000 4.8186 Mo
```

***

(23)
DFT (PBE) results for KTc2Mo after structural relaxation.

Results
E above lowest polymorph	72.5	kJ/mol of atoms
N(E_F)	1.456	states/eV/atom
ΔH_f (0 K)	1466.9	meV/atom

The structure in POSCAR format:
```
KTc2Mo
1.0
0.0000 3.2322 3.2322
3.2322 0.0000 3.2322
3.2322 3.2322 0.0000
K Tc Mo
1 2 1
Cartesian
0.0000 0.0000 0.0000 K
3.2322 3.2322 3.2322 Tc
4.8484 4.8484 4.8484 Tc
1.6161 1.6161 1.6161 Mo
```

***

(24)
DFT (PBE) results for KTcMo2 after structural relaxation.

Results
E above lowest polymorph	0.0	kJ/mol of atoms
N(E_F)	0.637	states/eV/atom
ΔH_f (0 K)	717.7	meV/atom

The structure in POSCAR format:
```
KTcMo2
1.0
1.5817 -2.2900 0.0000
1.5817 2.2900 0.0000
0.0000 0.0000 10.3518
K Tc Mo
1 1 2
Cartesian
0.0000 0.0000 0.0000 K
1.5817 0.0000 7.4043 Tc
0.0000 0.0000 5.3104 Mo
1.5817 0.0000 3.1716 Mo
```

***

(25)
DFT (PBE) results for KTcMo2 after structural relaxation.

Results
E above lowest polymorph	51.5	kJ/mol of atoms
N(E_F)	1.058	states/eV/atom
ΔH_f (0 K)	1251.7	meV/atom

The structure in POSCAR format:
```
KTcMo2
1.0
-1.2897 2.7393 5.6071
1.2897 -2.7393 5.6071
1.2897 2.7393 -5.6071
K Tc Mo
1 1 2
Cartesian
0.0000 0.0000 0.0000 K
0.0000 0.0000 5.6071 Tc
1.2897 0.0000 3.2176 Mo
0.0000 2.7393 2.3895 Mo
```

***

(26)
DFT (PBE) results for KTcMo2 after structural relaxation.

Results
E above lowest polymorph	10.9	kJ/mol of atoms
N(E_F)	0.878	states/eV/atom
ΔH_f (0 K)	830.8	meV/atom

The structure in POSCAR format:
```
KTcMo2
1.0
2.9196 0.0000 0.0000
0.0000 3.9975 0.0000
0.0000 0.0000 7.9962
K Tc Mo
1 1 2
Cartesian
0.0000 0.0000 0.0000 K
1.4598 1.9987 5.1905 Tc
0.0000 0.0000 4.1382 Mo
1.4598 1.9987 2.8838 Mo
```

***

(27)
DFT (PBE) results for KTcMo2 after structural relaxation.

Results
E above lowest polymorph	8.6	kJ/mol of atoms
N(E_F)	0.846	states/eV/atom
ΔH_f (0 K)	806.6	meV/atom

The structure in POSCAR format:
```
KTcMo2
1.0
2.9410 0.0000 0.0000
0.0000 3.8709 0.0000
0.0000 0.0000 8.1553
K Tc Mo
1 1 2
Cartesian
0.0000 0.0000 0.0000 K
0.0000 0.0000 4.0776 Tc
1.4705 1.9355 2.9074 Mo
1.4705 1.9355 5.2479 Mo
```

***

(28)
DFT (PBE) results for KTcMo2 after structural relaxation.

Results
E above lowest polymorph	10.3	kJ/mol of atoms
N(E_F)	0.685	states/eV/atom
ΔH_f (0 K)	824.2	meV/atom

The structure in POSCAR format:
```
KTcMo2
1.0
1.4154 0.8172 10.7620
-1.4154 0.8172 10.7620
0.0000 -1.6343 10.7620
K Tc Mo
1 1 2
Cartesian
0.0000 0.0000 0.0000 K
0.0000 0.0000 16.1431 Tc
0.0000 0.0000 7.5823 Mo
0.0000 0.0000 24.7038 Mo
```

***

(29)
DFT (PBE) results for KTc2Mo after structural relaxation.

Results
E above lowest polymorph	76.5	kJ/mol of atoms
N(E_F)	1.399	states/eV/atom
ΔH_f (0 K)	1508.6	meV/atom

The structure in POSCAR format:
```
KTc2Mo
1.0
5.2292 0.0000 0.0000
0.0000 5.2292 0.0000
0.0000 0.0000 2.6166
K Tc Mo
1 2 1
Cartesian
0.0000 0.0000 0.0000 K
0.0000 2.6146 1.3083 Tc
2.6146 0.0000 1.3083 Tc
2.6146 2.6146 0.0000 Mo
```

***

(30)
DFT (PBE) results for KTcMo2 after structural relaxation.

Results
E above lowest polymorph	97.6	kJ/mol of atoms
N(E_F)	1.376	states/eV/atom
ΔH_f (0 K)	1729.8	meV/atom

The structure in POSCAR format:
```
KTcMo2
1.0
-2.5279 2.5279 8.4913
2.5279 -2.5279 8.4913
2.5279 2.5279 -8.4913
K Tc Mo
2 2 4
Cartesian
2.5279 1.2640 2.1228 K
0.0000 1.2640 6.3685 K
2.5279 -1.2640 6.3685 Tc
0.0000 3.7919 2.1228 Tc
0.0000 0.0000 0.0000 Mo
1.2640 1.2640 -4.2457 Mo
1.2640 -1.2640 4.2457 Mo
0.0000 2.5279 0.0000 Mo
```